[1]
Here is an optimized crystal structure of ReAu from Alexandria. Energies are from PBE.

total magnetization	0.00	μB per cell
energy relative to the lowest polymorph listed for this composition	0.3728	eV/atom
formation enthalpy at 0 K	0.517	eV per atom
V	194.1	Å³ per cell
N(E_F)	12.0	states/eV per cell

Cell lengths 4.551, 8.460, 5.041 Å; angles 90.00, 90.00, 90.00 degrees
Positions (direct):
Re 0.500 0.843 0.502
Re 0.500 0.157 0.502
Re 0.500 0.343 0.002
Re 0.500 0.657 0.002
Re 0.000 0.000 0.662
Re 0.000 0.500 0.162
Au 0.000 0.331 0.674
Au 0.000 0.669 0.674
Au 0.000 0.831 0.174
Au 0.000 0.169 0.174
Au 0.500 0.000 0.988
Au 0.500 0.500 0.488


[2]
Here is an optimized crystal structure of AsPb3Se from Alexandria. Energies are from PBE.

total magnetization	0.00	μB per cell
energy relative to the lowest polymorph listed for this composition	0.0000	eV/atom
V	178.2	Å³ per cell
N(E_F)	2.6	states/eV per cell
formation energy (no corrections)	341	meV per atom

Cell lengths 5.628, 5.628, 5.628 Å; angles 90.00, 90.00, 90.00 degrees
Positions (direct):
Pb 0.000 0.500 0.000
Pb 0.000 0.000 0.500
Pb 0.500 0.000 0.000
As 0.000 0.000 0.000
Se 0.500 0.500 0.500


[3]
Here is an optimized crystal structure of Rb4In5Bi6 from Alexandria. Energies are from PBE.

total magnetization	0.00	μB per cell
formation enthalpy at 0 K	-0.200	eV per atom
V	1199.4	Å³ per cell
N(E_F)	10.8	states/eV per cell

Cell lengths 5.402, 11.693, 19.519 Å; angles 90.00, 90.00, 103.35 degrees
Positions (direct):
Rb 0.980 0.961 0.263
Rb 0.020 0.039 0.763
Rb 0.178 0.355 0.310
Rb 0.822 0.645 0.810
Rb 0.821 0.641 0.446
Rb 0.179 0.359 0.946
Rb 0.005 0.010 0.497
Rb 0.995 0.990 0.997
In 0.424 0.849 0.688
In 0.576 0.151 0.188
In 0.134 0.267 0.626
In 0.866 0.733 0.126
In 0.639 0.277 0.491
In 0.361 0.723 0.991
In 0.295 0.589 0.625
In 0.705 0.411 0.125
In 0.359 0.718 0.258
In 0.641 0.282 0.758
Bi 0.788 0.576 0.251
Bi 0.431 0.862 0.389
Bi 0.790 0.579 0.999
Bi 0.210 0.421 0.499
Bi 0.438 0.876 0.857
Bi 0.562 0.124 0.357
Bi 0.438 0.876 0.128
Bi 0.562 0.124 0.628
Bi 0.128 0.257 0.128
Bi 0.872 0.743 0.628
Bi 0.569 0.138 0.889
Bi 0.212 0.424 0.751


Q: Which formula does entry 1 have?
A: ReAu


Q: The highest V belongs to which entry?
A: Rb4In5Bi6


Copy entry 3 word for word.
Here is an optimized crystal structure of Rb4In5Bi6 from Alexandria. Energies are from PBE.

total magnetization	0.00	μB per cell
formation enthalpy at 0 K	-0.200	eV per atom
V	1199.4	Å³ per cell
N(E_F)	10.8	states/eV per cell

Cell lengths 5.402, 11.693, 19.519 Å; angles 90.00, 90.00, 103.35 degrees
Positions (direct):
Rb 0.980 0.961 0.263
Rb 0.020 0.039 0.763
Rb 0.178 0.355 0.310
Rb 0.822 0.645 0.810
Rb 0.821 0.641 0.446
Rb 0.179 0.359 0.946
Rb 0.005 0.010 0.497
Rb 0.995 0.990 0.997
In 0.424 0.849 0.688
In 0.576 0.151 0.188
In 0.134 0.267 0.626
In 0.866 0.733 0.126
In 0.639 0.277 0.491
In 0.361 0.723 0.991
In 0.295 0.589 0.625
In 0.705 0.411 0.125
In 0.359 0.718 0.258
In 0.641 0.282 0.758
Bi 0.788 0.576 0.251
Bi 0.431 0.862 0.389
Bi 0.790 0.579 0.999
Bi 0.210 0.421 0.499
Bi 0.438 0.876 0.857
Bi 0.562 0.124 0.357
Bi 0.438 0.876 0.128
Bi 0.562 0.124 0.628
Bi 0.128 0.257 0.128
Bi 0.872 0.743 0.628
Bi 0.569 0.138 0.889
Bi 0.212 0.424 0.751


Please write out number 3 again, unchanged.
Here is an optimized crystal structure of Rb4In5Bi6 from Alexandria. Energies are from PBE.

total magnetization	0.00	μB per cell
formation enthalpy at 0 K	-0.200	eV per atom
V	1199.4	Å³ per cell
N(E_F)	10.8	states/eV per cell

Cell lengths 5.402, 11.693, 19.519 Å; angles 90.00, 90.00, 103.35 degrees
Positions (direct):
Rb 0.980 0.961 0.263
Rb 0.020 0.039 0.763
Rb 0.178 0.355 0.310
Rb 0.822 0.645 0.810
Rb 0.821 0.641 0.446
Rb 0.179 0.359 0.946
Rb 0.005 0.010 0.497
Rb 0.995 0.990 0.997
In 0.424 0.849 0.688
In 0.576 0.151 0.188
In 0.134 0.267 0.626
In 0.866 0.733 0.126
In 0.639 0.277 0.491
In 0.361 0.723 0.991
In 0.295 0.589 0.625
In 0.705 0.411 0.125
In 0.359 0.718 0.258
In 0.641 0.282 0.758
Bi 0.788 0.576 0.251
Bi 0.431 0.862 0.389
Bi 0.790 0.579 0.999
Bi 0.210 0.421 0.499
Bi 0.438 0.876 0.857
Bi 0.562 0.124 0.357
Bi 0.438 0.876 0.128
Bi 0.562 0.124 0.628
Bi 0.128 0.257 0.128
Bi 0.872 0.743 0.628
Bi 0.569 0.138 0.889
Bi 0.212 0.424 0.751